1.
ZnSbPS2: relaxed, GGA-PBE.

Values from the calculation:
ΔE_f (raw) = 0.525 eV/atom
Total energy = -3.287 eV per atom
Energy above the lowest structure with this stoichiometry = 0.000 eV/atom

Cell lengths 4.6845, 4.6845, 4.6408 Å; angles 90.00, 90.00, 90.00 degrees
Closest atoms and distances in Å follow each position.
Space group P4/mmm (No. 123)
Inequivalent atoms, fractional coordinates:
Zn (0.0000, 0.0000, 0.0000)  2 P 2.32, 4 S 2.34
Sb (0.5000, 0.5000, 0.5000)  8 S 3.30, 4 P 3.31
P (0.0000, 0.0000, 0.5000)  2 Zn 2.32
S (0.0000, 0.5000, 0.0000)  2 Zn 2.34


2.
Sc4P2S: relaxed, GGA-PBE.

Values from the calculation:
ΔE_f (raw) = -1.249 eV/atom
Total energy = -7.002 eV per atom

Cell lengths 8.1178, 8.1178, 8.4204 Å; angles 90.00, 90.00, 90.00 degrees
Closest atoms and distances in Å follow each position.
Space group I4_1/amd (No. 141, origin choice 2)
Inequivalent atoms, fractional coordinates:
Sc (0.0000, 0.0539, 0.2042)  3 P 2.53-2.61, 1 S 2.56
P (0.0000, 0.0000, 0.5000)  6 Sc 2.53-2.61
S (0.0000, 0.2500, 0.8750)  4 Sc 2.56


3.
Sc8P4S3: relaxed, GGA-PBE.

Values from the calculation:
ΔE_f (raw) = -1.591 eV/atom
Total energy = -7.236 eV per atom

Cell lengths 10.4721, 10.4865, 7.4033 Å; angles 90.00, 134.89, 90.00 degrees
Closest atoms and distances in Å follow each position.
Space group C2/m (No. 12)
Inequivalent atoms, fractional coordinates:
Sc (0.0000, 0.2460, 0.0000)  3 P 2.58-2.62, 2 S 2.62
Sc (0.0000, 0.2534, 0.5000)  3 P 2.59-2.62, 3 S 2.62-2.66
Sc (0.2468, 0.0000, 0.4894)  2 P 2.57-2.60, 3 S 2.62-2.64
Sc (0.2490, 0.0000, 0.0027)  4 P 2.59-2.62, 1 S 2.64
P (0.0000, 0.0000, 0.0000)  6 Sc 2.57-2.59
P (0.0000, 0.5000, 0.5000)  6 Sc 2.59-2.61
P (0.2500, 0.2500, 0.0000)  6 Sc 2.62
S (0.0000, 0.0000, 0.5000)  6 Sc 2.64-2.66
S (0.2500, 0.2500, 0.5000)  6 Sc 2.62


4.
Sc8PS5: relaxed, GGA-PBE.

Values from the calculation:
ΔE_f (raw) = -1.471 eV/atom
Total energy = -6.950 eV per atom

Cell lengths 8.7012, 8.7012, 6.9357 Å; angles 90.00, 90.00, 90.00 degrees
Closest atoms and distances in Å follow each position.
Space group I-4 (No. 82)
Inequivalent atoms, fractional coordinates:
Sc (0.0415, 0.1975, 0.1568)  4 S 2.54-2.73
Sc (0.0447, 0.2949, 0.6001)  3 S 2.51-2.57, 1 P 2.69
P (0.0000, 0.0000, 0.5000)  8 Sc 2.69-2.96
S (0.0000, 0.5000, 0.2500)  8 Sc 2.73-3.04
S (0.2239, 0.2499, 0.8779)  6 Sc 2.51-2.59


5.
ScP3S9: relaxed, GGA-PBE.

Values from the calculation:
ΔE_f (raw) = -0.387 eV/atom
Total energy = -4.980 eV per atom

Cell lengths 16.8215, 8.0256, 11.6967 Å; angles 90.00, 129.35, 90.00 degrees
Closest atoms and distances in Å follow each position.
Space group Cc (No. 9)
Inequivalent atoms, fractional coordinates:
Sc (0.0000, 0.2423, 0.0000)  6 S 2.57-2.72
P (0.1351, 0.4162, 0.8190)  4 S 2.02-2.15
P (0.2560, 0.0804, 0.7763)  4 S 2.00-2.15
P (0.3493, 0.4056, 0.6637)  4 S 2.02-2.13
S (0.0136, 0.3288, 0.7967)  1 P 2.02
S (0.0968, 0.4829, 0.6235)  1 P 2.02
S (0.1221, 0.0292, 0.5780)  1 P 2.00
S (0.2015, 0.3655, 0.4571)  2 P 2.12-2.15
S (0.2575, 0.2376, 0.9268)  2 P 2.14-2.15
S (0.3365, 0.1010, 0.4280)  1 P 2.01
S (0.3386, 0.3980, 0.2610)  1 P 2.02
S (0.3694, 0.1689, 0.7608)  2 P 2.13-2.15
S (0.4738, 0.4108, 0.6734)  1 P 2.02


6.
Sc4P3S: relaxed, GGA-PBE.

Values from the calculation:
ΔE_f (raw) = -1.630 eV/atom
Total energy = -7.340 eV per atom
Energy above the lowest structure with this stoichiometry = 0.012 eV/atom

Cell lengths 5.2879, 5.2879, 5.2879 Å; angles 90.00, 90.00, 90.00 degrees
Closest atoms and distances in Å follow each position.
Space group Pm-3m (No. 221)
Inequivalent atoms, fractional coordinates:
Sc (0.0000, 0.0000, 0.0000)  6 P 2.64
Sc (0.0000, 0.5000, 0.5000)  2 S 2.64, 4 P 2.64
P (0.0000, 0.0000, 0.5000)  6 Sc 2.64
S (0.5000, 0.5000, 0.5000)  6 Sc 2.64


7.
Sc5P2S2: relaxed, GGA-PBE.

Values from the calculation:
ΔE_f (raw) = -1.448 eV/atom
Total energy = -7.085 eV per atom

Cell lengths 13.0877, 6.9334, 6.9548 Å; angles 90.00, 90.00, 90.00 degrees
Closest atoms and distances in Å follow each position.
Space group Cmce (No. 64)
Inequivalent atoms, fractional coordinates:
Sc (0.0000, 0.0000, 0.0000)  2 S 2.60, 4 P 2.66-2.68
Sc (0.1354, 0.1601, 0.3438)  3 P 2.64-2.75, 3 S 2.67-2.76
P (0.0000, 0.1431, 0.6416)  8 Sc 2.64-2.75, 1 P 2.80
S (0.1985, 0.0000, 0.0000)  7 Sc 2.60-2.76


8.
Sc7PS5: relaxed, GGA-PBE.

Values from the calculation:
ΔE_f (raw) = -1.688 eV/atom
Total energy = -7.101 eV per atom

Cell lengths 3.6469, 12.0471, 21.6448 Å; angles 90.00, 90.00, 90.00 degrees
Closest atoms and distances in Å follow each position.
Space group Cmc2_1 (No. 36)
Inequivalent atoms, fractional coordinates:
Sc (0.0000, 0.0403, 0.0000)  2 S 2.52, 2 P 2.62
Sc (0.0000, 0.1293, 0.7150)  6 S 2.57-2.60
Sc (0.0000, 0.1471, 0.2910)  6 S 2.54-2.62
Sc (0.0000, 0.3030, 0.9314)  3 S 2.54-2.58, 2 P 2.82
Sc (0.0000, 0.3164, 0.0723)  3 S 2.53-2.60, 2 P 2.69
Sc (0.0000, 0.3965, 0.6301)  5 S 2.58-2.81, 1 P 2.81
Sc (0.0000, 0.4232, 0.3603)  5 S 2.57-2.62
P (0.0000, 0.3045, 0.5108)  7 Sc 2.62-2.82
S (0.0000, 0.0424, 0.6067)  6 Sc 2.52-2.60
S (0.0000, 0.0583, 0.3976)  6 Sc 2.52-2.58
S (0.0000, 0.2145, 0.8248)  6 Sc 2.54-2.59
S (0.0000, 0.2312, 0.1793)  6 Sc 2.53-2.62
S (0.0000, 0.4886, 0.7495)  6 Sc 2.60-2.81


9.
Sc3PS2: relaxed, GGA-PBE.

Values from the calculation:
ΔE_f (raw) = -1.800 eV/atom
Total energy = -7.243 eV per atom

Cell lengths 3.7075, 5.2392, 11.2021 Å; angles 90.00, 90.00, 90.00 degrees
Closest atoms and distances in Å follow each position.
Space group Immm (No. 71)
Inequivalent atoms, fractional coordinates:
Sc (0.0000, 0.0000, 0.0000)  2 P 2.62, 4 S 2.64
Sc (0.0000, 0.0000, 0.3394)  2 P 2.58, 4 S 2.62-2.67
P (0.0000, 0.5000, 0.0000)  6 Sc 2.58-2.62
S (0.0000, 0.5000, 0.3319)  6 Sc 2.62-2.67


10.
Sc4PS2: relaxed, GGA-PBE.

Values from the calculation:
ΔE_f (raw) = -0.947 eV/atom
Total energy = -6.517 eV per atom
Energy above the lowest structure with this stoichiometry = 0.573 eV/atom

Cell lengths 4.8856, 4.8856, 12.9117 Å; angles 90.00, 90.00, 90.00 degrees
Closest atoms and distances in Å follow each position.
Space group I4/mmm (No. 139)
Inequivalent atoms, fractional coordinates:
Sc (0.0000, 0.0000, 0.1991)  1 S 2.43, 1 P 2.57
Sc (0.0000, 0.5000, 0.0000)  2 P 2.44
P (0.0000, 0.0000, 0.0000)  6 Sc 2.44-2.57
S (0.0000, 0.0000, 0.3870)  1 Sc 2.43


11.
Sc8P3S4: relaxed, GGA-PBE.

Values from the calculation:
ΔE_f (raw) = -1.638 eV/atom
Total energy = -7.198 eV per atom

Cell lengths 10.4324, 10.4455, 7.3780 Å; angles 90.00, 134.90, 90.00 degrees
Closest atoms and distances in Å follow each position.
Space group C2/m (No. 12)
Inequivalent atoms, fractional coordinates:
Sc (0.0000, 0.2472, 0.0000)  3 S 2.58-2.61, 2 P 2.61
Sc (0.0000, 0.2533, 0.5000)  3 P 2.58-2.61, 3 S 2.61-2.65
Sc (0.2487, 0.0000, 0.4927)  4 S 2.57-2.63, 1 P 2.58
Sc (0.2502, 0.0000, 0.0033)  2 S 2.59-2.63, 3 P 2.60-2.61
P (0.0000, 0.5000, 0.5000)  6 Sc 2.58-2.60
P (0.2500, 0.2500, 0.0000)  6 Sc 2.61
S (0.0000, 0.0000, 0.0000)  6 Sc 2.57-2.59
S (0.0000, 0.0000, 0.5000)  6 Sc 2.63-2.65
S (0.2500, 0.2500, 0.5000)  6 Sc 2.61


12.
Sc4P3S: relaxed, GGA-PBE.

Values from the calculation:
ΔE_f (raw) = -1.642 eV/atom
Total energy = -7.352 eV per atom
Energy above the lowest structure with this stoichiometry = 0.000 eV/atom

Cell lengths 7.4898, 10.5672, 3.7416 Å; angles 90.00, 90.00, 90.00 degrees
Closest atoms and distances in Å follow each position.
Space group Cmmm (No. 65)
Inequivalent atoms, fractional coordinates:
Sc (0.0000, 0.2482, 0.0000)  5 P 2.62-2.65, 1 S 2.66
Sc (0.2448, 0.0000, 0.5000)  4 P 2.62-2.64, 2 S 2.67
P (0.0000, 0.0000, 0.0000)  6 Sc 2.62
P (0.2500, 0.2500, 0.5000)  6 Sc 2.64-2.65
S (0.0000, 0.5000, 0.0000)  6 Sc 2.66-2.67